VASP calculation (GGA+U) on Cs2SmMoO6 after structural relaxation.

Calculated values
Electronic total energy ... -0.228 hartree per atom
Total magnetic moment ... 1.04 μB per formula unit

Cell: 6.835 6.835 6.005 Å, 90.00 90.00 120.00°
Positions (direct):
Cs 0.333 0.667 0.116
Cs 0.667 0.333 0.884
Sm 0.000 0.000 0.500
Mo 0.000 0.000 0.000
O 0.130 0.259 0.798
O 0.130 0.870 0.798
O 0.259 0.130 0.202
O 0.741 0.870 0.798
O 0.870 0.130 0.202
O 0.870 0.741 0.202